Material: NaPr2VO6
Method: DFT, PBE with a Hubbard U
State: optimized geometry

a b c (Å): 5.5371 5.9293 9.6228
angles (deg): 90.00 124.34 90.00
Space group P2_1/c (No. 14)
Unique sites:
Na: 0.0000 0.0000 0.0000 [2 per cell]
Pr: 0.2281 0.0693 0.7467 [4 per cell]
V: 0.5000 0.0000 0.5000 [2 per cell]
O: 0.1696 0.1699 0.4516 [4 per cell]
O: 0.2711 0.7256 0.4347 [4 per cell]
O: 0.3852 0.0450 0.2745 [4 per cell]

The value obtained for the energy is -7.4475 eV per atom. The mass density comes out at 5.751 g/cm3. The calculated volume is 13.04 Å³/atom. As for the total moment: 0.00 μB/f.u.